# 1
Density functional theory data (PBE-GGA) for crystalline AgBPt3 at its relaxed geometry.

CIF file:
```
data_AgBPt3
_chemical_formula_sum 'Ag2 B2 Pt6'
_cell_length_a 5.306
_cell_length_b 5.306
_cell_length_c 5.306
_cell_angle_alpha 90.50
_cell_angle_beta 90.50
_cell_angle_gamma 90.50
_symmetry_space_group_name_H-M 'P 1'
_symmetry_Int_Tables_number 1
loop_
_symmetry_equiv_pos_as_xyz
'x,y,z'
loop_
_atom_site_label
_atom_site_type_symbol
_atom_site_fract_x
_atom_site_fract_y
_atom_site_fract_z
Ag1 Ag 0.000 0.000 0.000
Ag2 Ag 0.500 0.500 0.500
B1 B 0.250 0.250 0.250
B2 B 0.750 0.750 0.750
Pt1 Pt 0.022 0.750 0.478
Pt2 Pt 0.250 0.522 0.978
Pt3 Pt 0.478 0.022 0.750
Pt4 Pt 0.522 0.978 0.250
Pt5 Pt 0.750 0.478 0.022
Pt6 Pt 0.978 0.250 0.522
```

Summary:
**ΔE to the lowest computed polymorph**: 293 meV/atom
**Calculated total energy**: -5.46 eV per atom
**Symmetry**: No. 167

***

# 2
Density functional theory data (PBE-GGA) for crystalline K3Au at its relaxed geometry.

CIF file:
```
data_K3Au
_chemical_formula_sum 'K3 Au1'
_cell_length_a 4.369
_cell_length_b 4.386
_cell_length_c 11.476
_cell_angle_alpha 90.00
_cell_angle_beta 90.00
_cell_angle_gamma 90.00
_symmetry_space_group_name_H-M 'P 1'
_symmetry_Int_Tables_number 1
loop_
_symmetry_equiv_pos_as_xyz
'x,y,z'
loop_
_atom_site_label
_atom_site_type_symbol
_atom_site_fract_x
_atom_site_fract_y
_atom_site_fract_z
K1 K 0.000 0.000 0.000
K2 K 0.000 0.500 0.352
K3 K 0.500 0.500 0.684
Au1 Au 0.500 0.000 0.465
```

Summary:
**Calculated total energy**: -1.75 eV per atom
**Symmetry**: No. 25

***

Number 1: E_form 1.6 kcal/mol of atoms. Number 2: E_form -2.4 kcal/mol of atoms.